Record 1
Density functional theory data (PBE) for crystalline NdLuGaRu at its relaxed geometry.

extended XYZ file:
```
16
Lattice="7.029 0.000 0.000 0.000 7.029 0.000 0.000 0.000 7.029" Properties=species:S:1:pos:R:3 pbc="T T T"
Nd 0.000 0.000 0.000
Nd 0.000 3.514 3.514
Nd 3.514 0.000 3.514
Nd 3.514 3.514 0.000
Lu 0.000 0.000 3.514
Lu 0.000 3.514 0.000
Lu 3.514 0.000 0.000
Lu 3.514 3.514 3.514
Ga 1.757 1.757 1.757
Ga 1.757 5.272 5.272
Ga 5.272 1.757 5.272
Ga 5.272 5.272 1.757
Ru 1.757 1.757 5.272
Ru 1.757 5.272 1.757
Ru 5.272 1.757 1.757
Ru 5.272 5.272 5.272
```

Computed properties:
**E_form**: -0.39 eV per atom
**Electronic total energy**: -5.7851 eV per atom

---

Record 2
Density functional theory data (PBE) for crystalline LaScGa3 at its relaxed geometry.

extended XYZ file:
```
5
Lattice="5.465 0.000 0.000 0.000 5.465 0.000 0.000 0.000 5.465" Properties=species:S:1:pos:R:3 pbc="T T T"
La 0.000 0.000 0.000
Sc 2.732 2.732 2.732
Ga 0.000 0.000 2.732
Ga 0.000 2.732 0.000
Ga 2.732 0.000 0.000
```

Computed properties:
**E_form**: 0.76 eV per atom
**Electronic total energy**: -3.3123 eV per atom

---

Record 3
Density functional theory data (PBE) for crystalline Li2PmDy3Se6 at its relaxed geometry.

extended XYZ file:
```
12
Lattice="3.518 -6.090 0.000 3.518 6.090 0.000 -2.356 0.000 6.665" Properties=species:S:1:pos:R:3 pbc="T T T"
Li 3.518 4.037 0.000
Li 3.518 -4.037 0.000
Pm 3.518 0.000 0.000
Dy -1.178 0.000 3.332
Dy 2.340 2.008 3.332
Dy 2.340 -2.008 3.332
Se -0.041 2.089 5.015
Se 1.100 0.000 1.644
Se -0.041 -2.089 5.015
Se 4.720 2.089 1.650
Se 3.580 0.000 5.020
Se 4.720 -2.089 1.650
```

Computed properties:
**Formation energy (no corrections)**: -20.791 eV/f.u.
**Electronic total energy**: -5.3402 eV per atom

---

Record 4
Density functional theory data (PBE) for crystalline AcPr6DyTm2 at its relaxed geometry.

extended XYZ file:
```
20
Lattice="4.749 -7.726 0.000 4.749 7.726 0.000 -1.029 0.000 9.743" Properties=species:S:1:pos:R:3 pbc="T T T"
Ac 3.978 7.252 7.308
Ac 4.492 -7.252 2.436
Pr 1.934 4.232 6.653
Pr 4.096 4.948 0.525
Pr 4.888 4.948 4.346
Pr 2.925 1.710 8.597
Pr 6.021 4.232 7.962
Pr 5.031 1.710 6.018
Pr 3.439 -1.710 3.725
Pr 2.448 -4.232 1.781
Pr 5.545 -1.710 1.147
Pr 3.582 -4.948 5.397
Pr 4.374 -4.948 9.218
Pr 6.536 -4.232 3.090
Dy 4.492 1.352 2.436
Dy 3.978 -1.352 7.308
Tm 1.889 0.801 5.349
Tm 2.403 -0.801 0.477
Tm 6.067 0.801 9.266
Tm 6.581 -0.801 4.394
```

Computed properties:
**E_form**: 0.12 eV per atom
**Electronic total energy**: -4.5157 eV per atom

---

Record 5
Density functional theory data (PBE) for crystalline InAgAu6 at its relaxed geometry.

extended XYZ file:
```
16
Lattice="4.281 0.000 0.000 0.000 8.090 0.000 0.000 0.000 8.527" Properties=species:S:1:pos:R:3 pbc="T T T"
In 0.000 0.000 0.000
In 0.000 4.045 4.264
Ag 2.141 0.000 6.320
Ag 2.141 4.045 2.056
Au 0.000 0.000 4.243
Au 0.000 1.997 6.387
Au 0.000 2.048 2.124
Au 0.000 4.045 8.507
Au 0.000 6.042 2.124
Au 0.000 6.093 6.387
Au 2.141 0.000 2.108
Au 2.141 2.018 8.488
Au 2.141 2.027 4.225
Au 2.141 4.045 6.372
Au 2.141 6.063 4.225
Au 2.141 6.072 8.488
```

Computed properties:
**E_form**: -0.06 eV per atom
**Electronic total energy**: -3.2189 eV per atom

---

Record 6
Density functional theory data (PBE) for crystalline PrGa3AgPd at its relaxed geometry.

extended XYZ file:
```
12
Lattice="2.963 -6.603 0.000 2.963 6.603 0.000 0.000 0.000 6.204" Properties=species:S:1:pos:R:3 pbc="T T T"
Pr 2.963 3.938 4.653
Pr 2.963 -3.938 1.551
Ga 1.273 0.000 0.000
Ga 1.273 0.000 3.102
Ga 2.963 1.725 1.551
Ga 2.963 -1.725 4.653
Ga 4.652 0.000 0.000
Ga 4.652 0.000 3.102
Ag 2.963 4.504 1.551
Ag 2.963 -4.504 4.653
Pd 2.963 1.125 4.653
Pd 2.963 -1.125 1.551
```

Computed properties:
**E_form**: -0.36 eV per atom
**Electronic total energy**: -4.0123 eV per atom

---

- Which of these has the lowest electronic total energy?
  NdLuGaRu

---

- electronic total energy of number 4 (AcPr6DyTm2)?
  -4.5157 eV per atom

---

- Which of these has the highest electronic total energy?
  InAgAu6